Zr2UGa2Ru5: relaxed, PBE.

Cell lengths 3.5671, 9.6930, 9.6930 Å; angles 90.00, 90.00, 90.00 degrees
Fractional positions:
1 U 0.0000 0.5000 0.5000
2 U 0.0000 0.0000 0.0000
3 Ru 0.5000 0.9330 0.2009
4 Ru 0.5000 0.0000 0.5000
5 Ru 0.5000 0.2991 0.5670
6 Ru 0.5000 0.7009 0.4330
7 Ru 0.5000 0.4330 0.2991
8 Ru 0.5000 0.7991 0.9330
9 Ru 0.5000 0.2009 0.0670
10 Ru 0.5000 0.5670 0.7009
11 Ru 0.5000 0.5000 0.0000
12 Ru 0.5000 0.0670 0.7991
13 Zr 0.0000 0.1672 0.3328
14 Zr 0.0000 0.6672 0.1672
15 Zr 0.0000 0.3328 0.8328
16 Zr 0.0000 0.8328 0.6672
17 Ga 0.0000 0.3713 0.1287
18 Ga 0.0000 0.1287 0.6287
19 Ga 0.0000 0.8713 0.3713
20 Ga 0.0000 0.6287 0.8713

Results
The density of states at the Fermi level comes out at 5.7 states/eV/f.u. As for the space-group type: No. 127. As for the spin magnetization: 0.00 μB/atom. As for the total energy: -8.54 eV per atom. The value obtained for the energy relative to the elements is -0.4589 eV per atom.

=====

CdBPt3: relaxed, PBE.

Cell lengths 9.7255, 7.6187, 7.6187 Å; angles 87.70, 124.81, 55.19 degrees
Fractional positions:
1 Pt 0.9988 0.6896 0.5102
2 Pt 0.8035 0.7079 0.7594
3 Pt 0.8768 0.9497 0.0406
4 Pt 0.0012 0.3104 0.4898
5 Pt 0.4988 0.9898 0.8104
6 Pt 0.1965 0.2921 0.2406
7 Pt 0.1232 0.0503 0.9594
8 Pt 0.3768 0.4594 0.5503
9 Pt 0.6965 0.2594 0.2079
10 Pt 0.5012 0.0102 0.1896
11 Pt 0.6232 0.5406 0.4497
12 Pt 0.3035 0.7406 0.7921
13 Cd 0.2500 0.9069 0.4069
14 Cd 0.7500 0.4306 0.9306
15 Cd 0.2500 0.5694 0.0694
16 Cd 0.7500 0.0931 0.5931
17 B 0.8066 0.6283 0.5064
18 B 0.1934 0.3717 0.4936
19 B 0.3066 0.9936 0.8717
20 B 0.6934 0.0064 0.1283

Results
The density of states at the Fermi level comes out at 1.2 states/eV/f.u. As for the space-group type: No. 15. For the energy above the most stable polymorph in this dataset, the calculation gives 157 meV/atom. As for the spin magnetization: 0.00 μB/atom. As for the total energy: -5.34 eV per atom. The value obtained for the energy relative to the elements is -0.1946 eV per atom.

=====

CsBeBi: relaxed, PBE.

Cell lengths 16.4527, 5.2056, 6.3093 Å; angles 90.00, 90.00, 90.00 degrees
Fractional positions:
1 Bi 0.1225 0.7500 0.9817
2 Bi 0.8775 0.2500 0.0183
3 Bi 0.3775 0.2500 0.4817
4 Bi 0.6225 0.7500 0.5183
5 Be 0.0000 0.5000 0.0000
6 Be 0.0000 0.0000 0.0000
7 Be 0.5000 0.5000 0.5000
8 Be 0.5000 0.0000 0.5000
9 Cs 0.1324 0.2500 0.4861
10 Cs 0.8676 0.7500 0.5139
11 Cs 0.3676 0.7500 0.9861
12 Cs 0.6324 0.2500 0.0139

Results
The density of states at the Fermi level comes out at 0.0 states/eV/f.u. As for the space-group type: No. 62. As for the spin magnetization: 0.00 μB/atom. As for the total energy: -2.79 eV per atom. The value obtained for the energy relative to the elements is 0.0336 eV per atom.

=====

Re2PbCl: relaxed, PBE.

Cell lengths 3.0537, 3.1327, 9.1216 Å; angles 79.87, 90.00, 90.00 degrees
Fractional positions:
1 Re 0.0000 0.0338 0.0587
2 Re 0.5000 0.4551 0.2122
3 Cl 0.0000 0.3440 0.4288
4 Pb 0.5000 0.6670 0.8003

Results
The density of states at the Fermi level comes out at 2.5 states/eV/f.u. As for the space-group type: No. 6. For the energy above the most stable polymorph in this dataset, the calculation gives 0 meV/atom. As for the spin magnetization: 0.00 μB/atom. As for the uncorrected formation energy: 53 kJ/mol of formula units. As for the total energy: -7.47 eV per atom.

=====

Na3Tl3Ga: relaxed, PBE.

Cell lengths 4.9722, 15.1375, 10.5445 Å; angles 90.00, 90.00, 90.00 degrees
Fractional positions:
1 Na 0.7500 0.7385 0.6795
2 Na 0.2500 0.8699 0.8353
3 Na 0.2500 0.2615 0.3205
4 Na 0.7500 0.6301 0.3353
5 Na 0.2500 0.7615 0.1795
6 Na 0.7500 0.1301 0.1647
7 Na 0.2500 0.5314 0.1026
8 Na 0.7500 0.2385 0.8205
9 Na 0.2500 0.3699 0.6647
10 Na 0.2500 0.0314 0.3974
11 Na 0.7500 0.9686 0.6026
12 Na 0.7500 0.4686 0.8974
13 Tl 0.7500 0.8700 0.3190
14 Tl 0.2500 0.1300 0.6810
15 Tl 0.2500 0.4709 0.3862
16 Tl 0.7500 0.5291 0.6138
17 Tl 0.7500 0.3700 0.1810
18 Tl 0.7500 0.1709 0.4868
19 Tl 0.2500 0.6300 0.8190
20 Tl 0.7500 0.0291 0.8862
21 Tl 0.2500 0.9709 0.1138
22 Tl 0.7500 0.6709 0.0132
23 Tl 0.2500 0.8291 0.5132
24 Tl 0.2500 0.3291 0.9868
25 Ga 0.2500 0.1398 0.9693
26 Ga 0.2500 0.6398 0.5307
27 Ga 0.7500 0.8602 0.0307
28 Ga 0.7500 0.3602 0.4693

Results
The density of states at the Fermi level comes out at 3.1 states/eV/f.u. As for the space-group type: No. 62. For the energy above the most stable polymorph in this dataset, the calculation gives 0 meV/atom. As for the spin magnetization: 0.00 μB/atom. As for the total energy: -2.08 eV per atom. The value obtained for the energy relative to the elements is -0.0709 eV per atom.

=====

Pm4HoGa: relaxed, PBE.

Cell lengths 3.7578, 6.4699, 8.7032 Å; angles 104.78, 77.49, 73.08 degrees
Fractional positions:
1 Pm 0.6366 0.0260 0.1995
2 Pm 0.2203 0.4177 0.6395
3 Pm 0.3661 0.9687 0.7966
4 Pm 0.7821 0.5769 0.3571
5 Ga 0.0015 0.9973 0.4978
6 Ho 0.5011 0.4973 0.9983

Results
The density of states at the Fermi level comes out at 7.2 states/eV/f.u. As for the space-group type: No. 2. As for the spin magnetization: 0.00 μB/atom. As for the total energy: -4.59 eV per atom. The value obtained for the energy relative to the elements is -0.1523 eV per atom.

=====

Ac2Pm12Ho5: relaxed, PBE.

Cell lengths 7.2662, 6.9007, 16.1134 Å; angles 79.12, 90.00, 121.77 degrees
Fractional positions:
1 Pm 0.5608 0.1216 0.7878
2 Pm 0.0435 0.5840 0.8614
3 Pm 0.9565 0.4160 0.1386
4 Pm 0.4392 0.8784 0.2122
5 Pm 0.8581 0.2821 0.5867
6 Pm 0.1419 0.7179 0.4133
7 Pm 0.5405 0.5840 0.8614
8 Pm 0.4240 0.2821 0.5867
9 Pm 0.4595 0.4160 0.1386
10 Pm 0.9251 0.8502 0.2196
11 Pm 0.0749 0.1498 0.7804
12 Pm 0.5760 0.7179 0.4133
13 Ho 0.8472 0.6944 0.6808
14 Ho 0.6354 0.2707 0.3619
15 Ho 0.0000 0.0000 0.5000
16 Ho 0.1528 0.3056 0.3192
17 Ho 0.3646 0.7293 0.6381
18 Ac 0.2483 0.0000 0.0000
19 Ac 0.7517 0.0000 0.0000

Results
The density of states at the Fermi level comes out at 28.4 states/eV/f.u. As for the space-group type: No. 12. For the energy above the most stable polymorph in this dataset, the calculation gives 61 meV/atom. As for the spin magnetization: 0.00 μB/atom. As for the total energy: -4.46 eV per atom. The value obtained for the energy relative to the elements is 0.1763 eV per atom.

=====

Zr2NiIr: relaxed, PBE.

Cell lengths 3.2945, 4.6102, 4.6102 Å; angles 90.00, 90.00, 90.00 degrees
Fractional positions:
1 Ni 0.5000 0.0000 0.0000
2 Ir 0.5000 0.5000 0.5000
3 Zr 0.0000 0.5000 0.0000
4 Zr 0.0000 0.0000 0.5000

Results
The density of states at the Fermi level comes out at 3.7 states/eV/f.u. As for the space-group type: No. 123. As for the spin magnetization: 0.00 μB/atom. As for the total energy: -8.53 eV per atom. The value obtained for the energy relative to the elements is -0.5927 eV per atom.

=====

TcAgO3: relaxed, PBE.

Cell lengths 3.9902, 3.9902, 3.9902 Å; angles 90.00, 90.00, 90.00 degrees
Fractional positions:
1 O 0.0000 0.0000 0.5000
2 O 0.5000 0.0000 0.0000
3 O 0.0000 0.5000 0.0000
4 Ag 0.0000 0.0000 0.0000
5 Tc 0.5000 0.5000 0.5000

Results
The density of states at the Fermi level comes out at 3.9 states/eV/f.u. As for the space-group type: No. 221. As for the spin magnetization: 0.89 μB/atom. As for the uncorrected formation energy: 337 kJ/mol of formula units. As for the total energy: -4.92 eV per atom.

=====

KSr2Cl: relaxed, PBE.

Cell lengths 7.6489, 7.6489, 7.2491 Å; angles 61.66, 61.66, 30.63 degrees
Fractional positions:
1 Cl 0.7500 0.7500 0.7500
2 Sr 0.0630 0.0630 0.9368
3 Sr 0.4370 0.4370 0.5632
4 K 0.2500 0.2500 0.2500

Results
The density of states at the Fermi level comes out at 2.9 states/eV/f.u. As for the space-group type: No. 12. For the energy above the most stable polymorph in this dataset, the calculation gives 71 meV/atom. As for the spin magnetization: 0.00 μB/atom. As for the uncorrected formation energy: -293 kJ/mol of formula units. As for the total energy: -2.34 eV per atom.

=====

Cs2CdAgAs: relaxed, PBE.

Cell lengths 7.1801, 7.1801, 4.9003 Å; angles 90.00, 90.00, 90.00 degrees
Fractional positions:
1 As 0.0000 0.0000 0.0000
2 Cd 0.5000 0.5000 0.5000
3 Ag 0.0000 0.0000 0.5000
4 Cs 0.0000 0.5000 0.0000
5 Cs 0.5000 0.0000 0.0000

Results
The density of states at the Fermi level comes out at 2.4 states/eV/f.u. As for the space-group type: No. 123. As for the spin magnetization: 0.00 μB/atom. As for the total energy: -2.07 eV per atom. The value obtained for the energy relative to the elements is -0.0479 eV per atom.

=====

CuSiCl4: relaxed, PBE.

Cell lengths 5.9445, 6.1662, 8.9114 Å; angles 90.00, 90.00, 90.00 degrees
Fractional positions:
1 Cu 0.5000 0.0000 0.5000
2 Cu 0.0000 0.0000 0.0000
3 Si 0.0000 0.0000 0.5000
4 Si 0.0000 0.5000 0.0000
5 Cl 0.7246 0.7995 0.6663
6 Cl 0.7246 0.2005 0.3337
7 Cl 0.7961 0.2962 0.8788
8 Cl 0.2754 0.7995 0.3337
9 Cl 0.7961 0.7038 0.1212
10 Cl 0.2039 0.2962 0.1212
11 Cl 0.2039 0.7038 0.8788
12 Cl 0.2754 0.2005 0.6663

Results
The density of states at the Fermi level comes out at 0.0 states/eV/f.u. As for the space-group type: No. 16. For the energy above the most stable polymorph in this dataset, the calculation gives 0 meV/atom. As for the spin magnetization: 0.01 μB/atom. As for the uncorrected formation energy: -335 kJ/mol of formula units. As for the total energy: -3.40 eV per atom.